## AcGe2Pd (GGA-PBE)

Data for a relaxed AcGe2Pd crystal.

abc: 4.431 4.431 7.007
angles: 90.00 90.00 90.00
Fractional coordinates of all 4 atoms:
Ge: 0.000 0.000 0.335
Pd: 0.000 0.000 0.000
Ac: 0.500 0.500 0.500
Ge: 0.000 0.000 0.665

Calculated values
Formation enthalpy at 0 K ... 42.1 meV per atom
Calculated density ... 5.778 g/cm³
Total energy ... -18.368 eV/cell
Density of states at the Fermi level ... 2.891 states/eV/f.u.